Material: Rb3ZnBr5
Method: DFT, SCAN
State: single point on PBEsol structure

Output
Calculated total energy: -188.04 eV per formula unit
Uncorrected formation energy: -15.01 eV per formula unit
Symmetry: Pnma (62)
Magnetic moment: 0.0 μB/f.u.

Cell lengths 8.976, 10.418, 13.272 Å; angles 90.00, 90.00, 90.00 degrees
Atoms (fractional coordinates):
Rb (0.084, 0.250, 0.048)
Rb (0.088, 0.018, 0.329)
Rb (0.088, 0.482, 0.329)
Rb (0.412, 0.518, 0.829)
Rb (0.412, 0.982, 0.829)
Rb (0.416, 0.750, 0.548)
Rb (0.584, 0.250, 0.452)
Rb (0.588, 0.018, 0.171)
Rb (0.588, 0.482, 0.171)
Rb (0.912, 0.518, 0.671)
Rb (0.912, 0.982, 0.671)
Rb (0.916, 0.750, 0.952)
Zn (0.189, 0.250, 0.608)
Zn (0.311, 0.750, 0.108)
Zn (0.689, 0.250, 0.892)
Zn (0.811, 0.750, 0.392)
Br (0.039, 0.750, 0.489)
Br (0.132, 0.250, 0.784)
Br (0.165, 0.750, 0.763)
Br (0.186, 0.556, 0.063)
Br (0.186, 0.944, 0.063)
Br (0.314, 0.056, 0.563)
Br (0.314, 0.444, 0.563)
Br (0.335, 0.250, 0.263)
Br (0.368, 0.750, 0.284)
Br (0.461, 0.250, 0.989)
Br (0.539, 0.750, 0.011)
Br (0.632, 0.250, 0.716)
Br (0.665, 0.750, 0.737)
Br (0.686, 0.556, 0.437)
Br (0.686, 0.944, 0.437)
Br (0.814, 0.056, 0.937)
Br (0.814, 0.444, 0.937)
Br (0.835, 0.250, 0.237)
Br (0.868, 0.750, 0.216)
Br (0.961, 0.250, 0.511)

=====

Material: Rb2ZnBr
Method: DFT, SCAN
State: single point on PBEsol structure

Output
Calculated total energy: -76.97 eV per formula unit
Uncorrected formation energy: -2.51 eV per formula unit
Symmetry: Fm-3m (225)
Magnetic moment: 0.0 μB/f.u.

Cell lengths 5.976, 5.976, 5.976 Å; angles 60.00, 60.00, 60.00 degrees
Atoms (fractional coordinates):
Rb (0.250, 0.250, 0.250)
Rb (0.750, 0.750, 0.750)
Zn (0.000, 0.000, 0.000)
Br (0.500, 0.500, 0.500)

=====

Material: Re2Br
Method: DFT, SCAN
State: single point on PBEsol structure

Output
Calculated total energy: -159.72 eV per formula unit
Uncorrected formation energy: 1.93 eV per formula unit
Symmetry: C2/m (12)
Magnetic moment: 0.0 μB/f.u.

Cell lengths 5.757, 5.757, 7.017 Å; angles 115.67, 115.67, 29.87 degrees
Atoms (fractional coordinates):
Re (0.077, 0.077, 0.219)
Re (0.362, 0.362, 0.024)
Re (0.638, 0.638, 0.976)
Re (0.923, 0.923, 0.781)
Br (0.343, 0.343, 0.409)
Br (0.657, 0.657, 0.591)

=====

Material: ReBr3
Method: DFT, SCAN
State: single point on PBEsol structure

Output
Polymorph energy (0 for the lowest one): 0.000 eV per formula unit
Calculated total energy: -128.71 eV per formula unit
Uncorrected formation energy: 0.77 eV per formula unit
Symmetry: Imm2 (44)
Magnetic moment: 2.0 μB/f.u.

Cell lengths 6.258, 6.258, 6.258 Å; angles 148.77, 69.80, 119.36 degrees
Atoms (fractional coordinates):
Re (0.000, 0.000, 0.000)
Br (0.013, 0.352, 0.661)
Br (0.301, 0.801, 0.500)
Br (0.690, 0.352, 0.339)

=====

Material: ReBr3
Method: DFT, SCAN
State: single point on PBEsol structure

Output
Polymorph energy (0 for the lowest one): 0.950 eV per formula unit
Calculated total energy: -127.76 eV per formula unit
Uncorrected formation energy: 1.72 eV per formula unit
Symmetry: Immm (71)
Magnetic moment: 1.2 μB/f.u.

Cell lengths 6.883, 6.883, 6.883 Å; angles 153.91, 138.94, 49.30 degrees
Atoms (fractional coordinates):
Re (0.000, 0.000, 0.000)
Br (0.161, 0.661, 0.500)
Br (0.500, 0.500, 0.000)
Br (0.839, 0.339, 0.500)

=====

Material: Re2RhBr
Method: DFT, SCAN
State: single point on PBEsol structure

Output
Calculated total energy: -191.15 eV per formula unit
Uncorrected formation energy: 4.28 eV per formula unit
Symmetry: Immm (71)
Magnetic moment: 0.0 μB/f.u.

Cell lengths 5.401, 5.401, 5.401 Å; angles 148.89, 131.88, 58.42 degrees
Atoms (fractional coordinates):
Re (0.228, 0.228, 0.000)
Re (0.772, 0.772, 0.000)
Rh (0.500, 0.000, 0.500)
Br (0.000, 0.500, 0.500)

=====

Material: Re2Rh2Br
Method: DFT, SCAN
State: single point on PBEsol structure

Output
Calculated total energy: -224.73 eV per formula unit
Uncorrected formation energy: 4.47 eV per formula unit
Symmetry: I4/mmm (139)
Magnetic moment: 0.0 μB/f.u.

Cell lengths 5.442, 5.442, 5.442 Å; angles 130.60, 130.60, 72.45 degrees
Atoms (fractional coordinates):
Re (0.131, 0.131, 0.000)
Re (0.869, 0.869, 0.000)
Rh (0.250, 0.750, 0.500)
Rh (0.750, 0.250, 0.500)
Br (0.500, 0.500, 0.000)

=====

Material: ReRhSe2Br
Method: DFT, SCAN
State: single point on PBEsol structure

Output
Calculated total energy: -159.64 eV per formula unit
Uncorrected formation energy: 4.85 eV per formula unit
Symmetry: P4/mmm (123)
Magnetic moment: 1.7 μB/f.u.

Cell lengths 4.692, 4.692, 5.214 Å; angles 90.00, 90.00, 90.00 degrees
Atoms (fractional coordinates):
Re (0.000, 0.000, 0.000)
Rh (0.500, 0.500, 0.500)
Se (0.000, 0.500, 0.000)
Se (0.500, 0.000, 0.000)
Br (0.000, 0.000, 0.500)

=====

no.,N(E_F) (states/eV/f.u.)
1,0.000
2,3.651
3,1.292
4,1.048
5,1.800
6,3.695
7,1.615
8,3.523